LiSi3 | Alexandria | PBE | relaxed; energy relative to the elements, uncorrected = 20.5 kJ/mol of atoms; calculated volume = 14.26 A^3/atom; M_tot = 0.000 μB/atom
1.0
2.8103 0.0000 0.0000
0.0000 8.7597 0.0000
0.0000 0.0000 4.6345
Li Si
2 6
Direct
0.0000 0.0000 0.0000
0.5000 0.5000 0.5000
0.0000 0.2465 0.6824
0.0000 0.5000 0.9921
0.0000 0.7535 0.6824
0.5000 0.0000 0.4921
0.5000 0.2535 0.1824
0.5000 0.7465 0.1824